Material: DyCuGe
Method: DFT, PBE
State: relaxed

Fermi-level density of states = 1.637 states/eV/f.u.
ΔH_f (0 K) = -0.558 eV/atom
spin magnetization = 0.0000 μB/atom

abc: 5.620 5.801 7.645
angles: 90.00 113.04 90.00
Space group P2_1/c (No. 14)
Inequivalent atoms, fractional coordinates:
1 Dy 0.199 0.136 0.380 [4 per cell]
2 Cu 0.208 0.606 0.519 [4 per cell]
3 Ge 0.381 0.611 0.272 [4 per cell]



Material: MnZn2Cu8
Method: DFT, PBE
State: relaxed

Fermi-level density of states = 3.938 states/eV/f.u.
ΔH_f (0 K) = -0.016 eV/atom
spin magnetization = 0.3476 μB/atom

abc: 4.492 4.496 6.949
angles: 91.02 95.28 99.86
Space group P-1 (No. 2)
Inequivalent atoms, fractional coordinates:
1 Mn 0.000 0.000 0.000 [1 per cell]
2 Zn 0.182 0.372 0.724 [2 per cell]
3 Cu 0.093 0.179 0.364 [2 per cell]
4 Cu 0.275 0.546 0.091 [2 per cell]
5 Cu 0.366 0.729 0.454 [2 per cell]
6 Cu 0.457 0.912 0.817 [2 per cell]



Material: CePa3C4
Method: DFT, PBE
State: relaxed

Fermi-level density of states = 8.101 states/eV/f.u.
ΔH_f (0 K) = -0.368 eV/atom
spin magnetization = 0.0000 μB/atom

abc: 7.225 10.260 3.604
angles: 90.00 90.00 90.00
Space group Cmmm (No. 65)
Inequivalent atoms, fractional coordinates:
1 Ce 0.000 0.000 0.000 [2 per cell]
2 Pa 0.000 0.500 0.000 [2 per cell]
3 Pa 0.250 0.250 0.500 [4 per cell]
4 C 0.000 0.256 0.000 [4 per cell]
5 C 0.234 0.500 0.500 [4 per cell]



Material: Ba4NaGa
Method: DFT, PBE
State: relaxed

Fermi-level density of states = 6.883 states/eV/f.u.
ΔH_f (0 K) = -0.026 eV/atom
spin magnetization = 0.0002 μB/atom

abc: 5.851 5.851 9.311
angles: 90.00 90.00 90.00
Space group P4/mmm (No. 123)
Inequivalent atoms, fractional coordinates:
1 Ba 0.000 0.500 0.207 [4 per cell]
2 Na 0.000 0.000 0.500 [1 per cell]
3 Ga 0.500 0.500 0.000 [1 per cell]



Material: La6CdRh2
Method: DFT, PBE
State: relaxed

Fermi-level density of states = 10.323 states/eV/f.u.
ΔH_f (0 K) = -0.419 eV/atom
spin magnetization = 0.0000 μB/atom

abc: 10.748 5.288 9.463
angles: 90.00 98.70 90.00
Space group C2/m (No. 12)
Inequivalent atoms, fractional coordinates:
1 La 0.075 0.000 0.354 [4 per cell]
2 La 0.112 0.500 0.664 [4 per cell]
3 La 0.193 0.500 0.111 [4 per cell]
4 Cd 0.000 0.000 0.000 [2 per cell]
5 Rh 0.235 0.500 0.386 [4 per cell]



Material: GaS5I
Method: DFT, PBE
State: relaxed

Fermi-level density of states = 2.896 states/eV/f.u.
spin magnetization = 0.0000 μB/atom
formation energy (no corrections) = 0.065 eV/atom

abc: 3.839 7.214 8.765
angles: 105.21 93.00 91.86
Space group P1 (No. 1)
Inequivalent atoms, fractional coordinates:
1 Ga 0.000 0.000 0.000 [1 per cell]
2 S 0.093 0.629 0.450 [1 per cell]
3 S 0.493 0.050 0.171 [1 per cell]
4 S 0.670 0.498 0.491 [1 per cell]
5 S 0.687 0.766 0.070 [1 per cell]
6 S 0.963 0.091 0.779 [1 per cell]
7 I 0.235 0.414 0.896 [1 per cell]



Material: ErMg3Pd2
Method: DFT, PBE
State: relaxed

Fermi-level density of states = 3.678 states/eV/f.u.
ΔH_f (0 K) = -0.422 eV/atom
spin magnetization = 0.0000 μB/atom

abc: 4.537 4.198 6.562
angles: 90.00 110.13 90.00
Space group P2/m (No. 10)
Inequivalent atoms, fractional coordinates:
1 Er 0.000 0.000 0.000 [1 per cell]
2 Mg 0.186 0.500 0.371 [2 per cell]
3 Mg 0.500 0.500 0.000 [1 per cell]
4 Pd 0.338 0.000 0.679 [2 per cell]



Material: Rb2PuVBr6
Method: DFT, PBE
State: relaxed

Fermi-level density of states = 22.820 states/eV/f.u.
spin magnetization = 0.9000 μB/atom
formation energy (no corrections) = -1.336 eV/atom

abc: 7.909 11.187 7.914
angles: 90.00 90.00 90.00
Space group Pmmn (No. 59, origin choice 2)
Inequivalent atoms, fractional coordinates:
1 Rb 0.250 0.001 0.249 [4 per cell]
2 Pu 0.250 0.250 0.749 [2 per cell]
3 V 0.250 0.750 0.751 [2 per cell]
4 Br 0.011 0.750 0.513 [4 per cell]
5 Br 0.012 0.750 0.990 [4 per cell]
6 Br 0.250 0.511 0.751 [4 per cell]